! GGA-PBE Cs2SrSiO4, optimized geometry; values from VASP
&SYSTEM
  ibrav = 0, nat = 16, ntyp = 4
/
ATOMIC_SPECIES
Cs 132.91 Cs.upf
Sr 87.62 Sr.upf
Si 28.09 Si.upf
O 16.00 O.upf
CELL_PARAMETERS angstrom
0.0000 6.0576 12.6992
2.9248 0.0000 12.6992
2.9248 6.0576 0.0000
ATOMIC_POSITIONS angstrom
Cs 2.1936 4.5432 1.5376
Cs 3.6560 7.5721 7.8872
Cs 2.1936 4.5432 17.5113
Cs 3.6560 7.5721 23.8609
Sr 0.7312 1.5144 3.1748
Sr 5.1184 10.6009 22.2236
Si 2.1936 4.5432 9.5244
Si 3.6560 7.5721 15.8740
O 3.1843 3.5498 8.6168
O 3.1843 5.5367 10.4321
O 4.6467 6.5786 16.7817
O 1.2028 3.5498 10.4321
O 4.6467 8.5655 14.9664
O 1.2028 5.5367 8.6168
O 2.6652 6.5786 14.9664
O 2.6652 8.5655 16.7817
! magnetic moment	0.00	μB/f.u.
! energy relative to the elements, uncorrected	-2.157	eV/atom